Entry 1:
Compound: BeRhAu2
Source: the Alexandria database
Functional: SCAN
Structure: single point on PBEsol structure

Calculated values
Energy of formation: -0.155 eV/atom
Symmetry: Imm2, No. 44

Cell lengths 2.890, 4.428, 5.077 Å; angles 115.85, 106.54, 90.00 degrees
Fractional positions:
Be1 0.506 0.506 0.012
Au1 0.789 0.289 0.578
Au2 0.998 0.998 0.996
Rh1 0.207 0.707 0.414


Entry 2:
Compound: Hf2AlNi2
Source: the Alexandria database
Functional: SCAN
Structure: single point on PBEsol structure

Calculated values
Energy of formation: -0.644 eV/atom
Symmetry: P4/mbm, No. 127

Cell lengths 3.247, 6.907, 6.907 Å; angles 90.00, 90.00, 90.00 degrees
Fractional positions:
Hf1 0.500 0.830 0.330
Hf2 0.500 0.170 0.670
Al1 0.000 0.500 0.500
Ni1 0.000 0.127 0.373
Al2 0.000 0.000 0.000
Ni2 0.000 0.873 0.627
Hf3 0.500 0.670 0.830
Ni3 0.000 0.373 0.873
Ni4 0.000 0.627 0.127
Hf4 0.500 0.330 0.170


Entry 3:
Compound: PRhCl
Source: the Alexandria database
Functional: SCAN
Structure: single point on PBEsol structure

Calculated values
Symmetry: F-43m, No. 216
Formation energy (no corrections): 16.18 kcal/mol of atoms
Relative energy among the computed polymorphs: 779.8 meV per atom

Cell lengths 4.166, 4.166, 4.166 Å; angles 60.00, 60.00, 60.00 degrees
Fractional positions:
Rh1 0.000 0.000 0.000
Cl1 0.500 0.500 0.500
P1 0.250 0.250 0.250


Entry 4:
Compound: SrMo3As
Source: the Alexandria database
Functional: SCAN
Structure: single point on PBEsol structure

Calculated values
Energy of formation: 3.302 eV/atom
Symmetry: Pm-3m, No. 221

Cell lengths 4.708, 4.708, 4.708 Å; angles 90.00, 90.00, 90.00 degrees
Fractional positions:
Mo1 0.000 0.500 0.000
Mo2 0.500 0.000 0.000
As1 0.500 0.500 0.500
Mo3 0.000 0.000 0.500
Sr1 0.000 0.000 0.000


Values for uncorrected energy, eV/atom, ordered as above
-44.265, -33.733, -16.681, -26.123